1.
# ReSb2Br | Alexandria via LeMat-Bulk | GGA-PBE | relaxed
data_ReSb2Br
_cell_length_a 5.137
_cell_length_b 5.137
_cell_length_c 5.137
_cell_angle_alpha 126.64
_cell_angle_beta 126.64
_cell_angle_gamma 78.83
_space_group_name_H-M_alt 'P 1'
_space_group_IT_number 1
loop_
_space_group_symop_operation_xyz
'x,y,z'
loop_
_atom_site_label
_atom_site_fract_x
_atom_site_fract_y
_atom_site_fract_z
_atom_site_occupancy
Re1 0.750 0.250 0.500 1
Br1 0.250 0.750 0.500 1
Sb1 0.000 0.000 0.000 1
Sb2 0.500 0.500 0.000 1
# Space group: I4/mmm (139)
# Crystal system: tetragonal
# Formation energy (no corrections): 0.866 eV/atom
# ΔE to the lowest computed polymorph: 652.8 meV per atom



2.
# PuTlBiSb | Alexandria via LeMat-Bulk | GGA-PBE | relaxed
data_PuTlBiSb
_cell_length_a 5.523
_cell_length_b 5.523
_cell_length_c 5.523
_cell_angle_alpha 60.00
_cell_angle_beta 60.00
_cell_angle_gamma 60.00
_space_group_name_H-M_alt 'P 1'
_space_group_IT_number 1
loop_
_space_group_symop_operation_xyz
'x,y,z'
loop_
_atom_site_label
_atom_site_fract_x
_atom_site_fract_y
_atom_site_fract_z
_atom_site_occupancy
Sb1 0.000 0.000 0.000 1
Tl1 0.750 0.750 0.750 1
Bi1 0.500 0.500 0.500 1
Pu1 0.250 0.250 0.250 1
# Space group: F-43m (216)
# Crystal system: cubic
# Formation energy (no corrections): -0.076 eV/atom



3.
# Pm3AgSn3 | Alexandria via LeMat-Bulk | GGA-PBE | relaxed
data_Pm3AgSn3
_cell_length_a 4.679
_cell_length_b 6.255
_cell_length_c 14.497
_cell_angle_alpha 83.72
_cell_angle_beta 80.71
_cell_angle_gamma 68.03
_space_group_name_H-M_alt 'P 1'
_space_group_IT_number 1
loop_
_space_group_symop_operation_xyz
'x,y,z'
loop_
_atom_site_label
_atom_site_fract_x
_atom_site_fract_y
_atom_site_fract_z
_atom_site_occupancy
Pm1 0.532 0.317 0.618 1
Pm2 0.468 0.683 0.382 1
Pm3 0.263 0.248 0.225 1
Pm4 0.737 0.752 0.775 1
Pm5 0.401 0.276 0.922 1
Pm6 0.599 0.724 0.078 1
Ag1 0.765 0.079 0.391 1
Ag2 0.235 0.921 0.609 1
Sn1 0.866 0.720 0.549 1
Sn2 0.134 0.280 0.451 1
Sn3 0.126 0.823 0.925 1
Sn4 0.874 0.177 0.075 1
Sn5 0.980 0.809 0.231 1
Sn6 0.020 0.191 0.769 1
# Space group: C2/m (12)
# Crystal system: monoclinic
# E_form: -686 meV/atom
# ΔE to the lowest computed polymorph: 0.0 meV per atom



Number 1: theoretical density 10.0 g/cm3. Number 2: theoretical density 10.9 g/cm3. Number 3: theoretical density 7.7 g/cm3.